Version i
First-principles (PBE-GGA) data for an optimized crystal structure of Ac2SiN3, as listed in Alexandria.

Lattice parameters (Å, degrees): 3.879 3.960 6.938 106.58 106.23 90.00
Fractional coordinates of all 6 atoms:
N: 0.147 0.147 0.294
Ac: 0.356 0.356 0.712
N: 0.000 0.500 0.000
N: 0.853 0.853 0.706
Si: 0.000 0.000 0.000
Ac: 0.644 0.644 0.288

Summary:
Total moment   0.00 μB per formula unit
Density of states at the Fermi level   1.1 states/eV/f.u.

***

Version ii
First-principles (PBE-GGA) data for an optimized crystal structure of Ac2SiN3, as listed in Alexandria.

Lattice parameters (Å, degrees): 5.597 6.349 12.396 90.00 90.00 63.85
Fractional coordinates of all 24 atoms:
N: 0.586 0.328 0.138
N: 0.086 0.328 0.362
Ac: 0.062 0.376 0.142
Ac: 0.640 0.220 0.927
Ac: 0.360 0.780 0.073
N: 0.017 0.966 0.250
Si: 0.259 0.981 0.832
Ac: 0.562 0.376 0.358
Ac: 0.938 0.624 0.858
N: 0.839 0.822 0.058
Ac: 0.140 0.220 0.573
N: 0.339 0.822 0.442
Si: 0.741 0.019 0.168
N: 0.983 0.034 0.750
Ac: 0.438 0.624 0.642
N: 0.414 0.672 0.862
Si: 0.760 0.981 0.668
Si: 0.240 0.019 0.332
N: 0.661 0.178 0.558
Ac: 0.860 0.780 0.427
N: 0.914 0.672 0.638
N: 0.161 0.178 0.942
N: 0.517 0.966 0.250
N: 0.483 0.034 0.750

Summary:
Total moment   0.00 μB per formula unit
Density of states at the Fermi level   1.2 states/eV/f.u.

***

Most stable structure - version ii; separation to the second - 20.5 kJ/mol of atoms.

***

Version i
First-principles (PBE-GGA) data for an optimized crystal structure of Ac6Si2N, as listed in Alexandria.

Lattice parameters (Å, degrees): 7.008 8.354 10.122 90.00 88.60 90.00
Fractional coordinates of all 18 atoms:
N: 0.000 0.000 0.500
Ac: 0.631 0.464 0.753
Ac: 0.863 0.709 0.441
Ac: 0.363 0.791 0.941
Ac: 0.166 0.336 0.942
N: 0.500 0.500 0.000
Si: 0.561 0.882 0.246
Ac: 0.834 0.664 0.058
Si: 0.439 0.118 0.754
Ac: 0.369 0.536 0.247
Si: 0.061 0.618 0.746
Si: 0.939 0.382 0.254
Ac: 0.137 0.291 0.559
Ac: 0.666 0.164 0.442
Ac: 0.637 0.209 0.059
Ac: 0.131 0.036 0.253
Ac: 0.869 0.964 0.747
Ac: 0.334 0.836 0.558

Summary:
Total moment   0.00 μB per formula unit
Density of states at the Fermi level   9.3 states/eV/f.u.

***

Version ii
First-principles (PBE-GGA) data for an optimized crystal structure of Ac6Si2N, as listed in Alexandria.

Lattice parameters (Å, degrees): 7.161 7.161 12.792 90.00 90.00 90.00
Fractional coordinates of all 18 atoms:
Ac: 0.805 0.195 0.851
Ac: 0.774 0.226 0.500
Ac: 0.305 0.305 0.351
Ac: 0.305 0.305 0.649
N: 0.000 0.000 0.000
Ac: 0.226 0.774 0.500
Ac: 0.695 0.695 0.649
Ac: 0.805 0.195 0.149
Ac: 0.195 0.805 0.851
Ac: 0.274 0.274 0.000
Si: 0.500 0.500 0.167
N: 0.500 0.500 0.500
Si: 0.500 0.500 0.833
Ac: 0.195 0.805 0.149
Ac: 0.695 0.695 0.351
Si: 0.000 0.000 0.667
Ac: 0.726 0.726 0.000
Si: 0.000 0.000 0.333

Summary:
Total moment   0.00 μB per formula unit
Density of states at the Fermi level   9.7 states/eV/f.u.

***

Most stable structure - version i; separation to the second - 12.9 kJ/mol of atoms.